## 1
Computed, not measured: Cs2Se3S2 after structural relaxation at the PBE level of DFT.

The structure in CIF format:
```
data_Cs2Se3S2
_chemical_formula_sum 'Cs2 Se3 S2'
_cell_length_a 5.673
_cell_length_b 4.812
_cell_length_c 9.943
_cell_angle_alpha 90.00
_cell_angle_beta 94.70
_cell_angle_gamma 90.00
_space_group_name_H-M_alt 'P 1 2/m 1'
_space_group_IT_number 10
loop_
_space_group_symop_operation_xyz
'x,y,z'
'-x,-y,-z'
'-x,y,-z'
'x,-y,z'
loop_
_atom_site_label
_atom_site_fract_x
_atom_site_fract_y
_atom_site_fract_z
Cs1 0.179 0.000 0.241
Se1 0.000 0.500 0.500
Se2 0.337 0.500 0.881
S1 0.344 0.500 0.659
```

## 2
Computed, not measured: Cs2Se3S2 after structural relaxation at the PBE level of DFT.

The structure in CIF format:
```
data_Cs2Se3S2
_chemical_formula_sum 'Cs4 Se6 S4'
_cell_length_a 17.948
_cell_length_b 5.275
_cell_length_c 5.684
_cell_angle_alpha 90.00
_cell_angle_beta 101.44
_cell_angle_gamma 90.00
_space_group_name_H-M_alt 'C 1 m 1'
_space_group_IT_number 8
loop_
_space_group_symop_operation_xyz
'x,y,z'
'x,-y,z'
'x+1/2,y+1/2,z'
'x+1/2,-y+1/2,z'
loop_
_atom_site_label
_atom_site_fract_x
_atom_site_fract_y
_atom_site_fract_z
Cs1 0.000 0.000 0.000
Cs2 0.229 0.000 0.665
Se1 0.116 0.500 0.328
Se2 0.344 0.500 0.356
Se3 0.385 0.000 0.308
S1 0.001 0.500 0.531
S2 0.229 0.500 0.130
```

It is 2 that is the most stable of them.

## 1
Computed, not measured: Cs2Se2S after structural relaxation at the PBE level of DFT.

The structure in CIF format:
```
data_Cs2Se2S
_chemical_formula_sum 'Cs4 Se4 S2'
_cell_length_a 13.215
_cell_length_b 4.972
_cell_length_c 5.736
_cell_angle_alpha 90.00
_cell_angle_beta 106.26
_cell_angle_gamma 90.00
_space_group_name_H-M_alt 'C 1 2/m 1'
_space_group_IT_number 12
loop_
_space_group_symop_operation_xyz
'x,y,z'
'-x,-y,-z'
'-x,y,-z'
'x,-y,z'
'x+1/2,y+1/2,z'
'-x+1/2,-y+1/2,-z'
'-x+1/2,y+1/2,-z'
'x+1/2,-y+1/2,z'
loop_
_atom_site_label
_atom_site_fract_x
_atom_site_fract_y
_atom_site_fract_z
Cs1 0.123 0.000 0.393
Se1 0.200 0.500 0.978
S1 0.000 0.500 0.000
```

## 2
Computed, not measured: Cs2Se2S after structural relaxation at the PBE level of DFT.

The structure in CIF format:
```
data_Cs2Se2S
_chemical_formula_sum 'Cs4 Se4 S2'
_cell_length_a 7.966
_cell_length_b 7.966
_cell_length_c 5.454
_cell_angle_alpha 90.00
_cell_angle_beta 90.00
_cell_angle_gamma 90.00
_space_group_name_H-M_alt 'P 4/m b m'
_space_group_IT_number 127
_space_group_name_Hall '-P 4 2ab'
loop_
_atom_site_label
_atom_site_fract_x
_atom_site_fract_y
_atom_site_fract_z
Cs1 0.191 0.309 0.000
Se1 0.105 0.605 0.500
S1 0.000 0.000 0.500
```

## 3
Computed, not measured: Cs2Se2S after structural relaxation at the PBE level of DFT.

The structure in CIF format:
```
data_Cs2Se2S
_chemical_formula_sum 'Cs4 Se4 S2'
_cell_length_a 7.101
_cell_length_b 7.101
_cell_length_c 7.639
_cell_angle_alpha 90.00
_cell_angle_beta 90.00
_cell_angle_gamma 90.00
_space_group_name_H-M_alt 'I 4/m m m'
_space_group_IT_number 139
_space_group_name_Hall '-I 4 2'
loop_
_atom_site_label
_atom_site_fract_x
_atom_site_fract_y
_atom_site_fract_z
Cs1 0.000 0.500 0.250
Se1 0.000 0.000 0.172
S1 0.000 0.000 0.500
```

It is 1 that is the most stable of them.